SrCdSi: relaxed, GGA-PBE.

```
SrCdSi
1.0
6.286 -0.022 0.024
5.205 3.525 0.026
1.081 0.328 3.532
Cd Si Sr
1 1 1
Direct
0.970 0.970 0.030 Cd
0.359 0.359 0.641 Si
0.671 0.671 0.329 Sr
```

Values from the calculation:
magnetic moment = 0.0 μB/f.u.
V = 26.2 Å³ per atom
raw formation energy = -8 meV per atom